1.
VASP calculation (GGA-PBE) on Pm2GaN after structural relaxation. Values from VASP.

Summary:
Electronic total energy: -22.8 eV for the cell shown
Theoretical density: 7.993 g cm⁻³
Total moment: 0.00 μB per formula unit
Relative energy among the computed polymorphs: 399.7 meV/atom
Calculated volume: 19.4 A^3/atom

Cell and atoms, written as Quantum ESPRESSO input:
```
&SYSTEM
  ibrav = 0, nat = 4, ntyp = 3
/
ATOMIC_SPECIES
Ga 69.72 Ga.upf
N 14.01 N.upf
Pm 145.00 Pm.upf
CELL_PARAMETERS angstrom
3.162 0.000 0.000
0.000 3.162 0.000
0.000 0.000 7.764
ATOMIC_POSITIONS crystal
Ga 0.500 0.500 0.500
N 0.500 0.500 0.000
Pm 0.000 0.000 0.808
Pm 0.000 0.000 0.192
```

2.
VASP calculation (GGA-PBE) on La4Nd5Sm after structural relaxation. Values from VASP.

Summary:
Electronic total energy: -46.6 eV for the cell shown
Theoretical density: 6.401 g cm⁻³
Total moment: 0.00 μB per formula unit
Relative energy among the computed polymorphs: 21.1 meV/atom
Calculated volume: 37.0 A^3/atom
Calculated formation energy: 16 kJ/mol of atoms

Cell and atoms, written as Quantum ESPRESSO input:
```
&SYSTEM
  ibrav = 0, nat = 10, ntyp = 3
/
ATOMIC_SPECIES
Nd 144.24 Nd.upf
La 138.91 La.upf
Sm 150.36 Sm.upf
CELL_PARAMETERS angstrom
3.560 0.000 -0.771
-1.599 8.652 -7.388
1.234 -2.860 14.309
ATOMIC_POSITIONS crystal
Nd 0.827 0.600 0.654
Nd 0.173 0.400 0.346
Nd 0.500 0.500 0.000
Nd 0.174 0.791 0.347
Nd 0.826 0.209 0.653
La 0.970 0.691 0.940
La 0.344 0.938 0.688
La 0.030 0.309 0.060
La 0.656 0.062 0.312
Sm 0.500 0.000 0.000
```

3.
VASP calculation (GGA-PBE) on Cs4Mg3TlF12 after structural relaxation. Values from VASP.

Summary:
Electronic total energy: -91.3 eV for the cell shown
Theoretical density: 5.104 g cm⁻³
Total moment: 0.98 μB per formula unit
Calculated volume: 16.9 A^3/atom

Cell and atoms, written as Quantum ESPRESSO input:
```
&SYSTEM
  ibrav = 0, nat = 20, ntyp = 4
/
ATOMIC_SPECIES
F 19.00 F.upf
Tl 204.38 Tl.upf
Mg 24.30 Mg.upf
Cs 132.91 Cs.upf
CELL_PARAMETERS angstrom
7.596 0.000 0.000
-2.532 7.161 0.000
-2.532 -3.581 6.202
ATOMIC_POSITIONS crystal
F 0.000 0.275 0.275
F 0.275 0.000 0.275
F 0.500 0.250 0.750
F 0.000 0.725 0.725
F 0.725 0.000 0.725
F 0.250 0.500 0.750
F 0.725 0.725 0.000
F 0.750 0.500 0.250
F 0.250 0.750 0.500
F 0.275 0.275 0.000
F 0.750 0.250 0.500
F 0.500 0.750 0.250
Tl 0.000 0.000 0.000
Mg 0.500 0.500 0.000
Mg 0.000 0.500 0.500
Mg 0.500 0.000 0.500
Cs 0.000 0.500 0.000
Cs 0.500 0.500 0.500
Cs 0.500 0.000 0.000
Cs 0.000 0.000 0.500
```

4.
VASP calculation (GGA-PBE) on MnTc2Te after structural relaxation. Values from VASP.

Summary:
Electronic total energy: -31.9 eV for the cell shown
Theoretical density: 9.899 g cm⁻³
Total moment: 2.80 μB per formula unit
Calculated volume: 15.9 A^3/atom

Cell and atoms, written as Quantum ESPRESSO input:
```
&SYSTEM
  ibrav = 0, nat = 4, ntyp = 3
/
ATOMIC_SPECIES
Tc 98.00 Tc.upf
Mn 54.94 Mn.upf
Te 127.60 Te.upf
CELL_PARAMETERS angstrom
-4.478 -1.913 -0.630
-3.145 -1.499 -3.460
0.535 -4.495 -0.406
ATOMIC_POSITIONS crystal
Tc 0.006 0.006 0.926
Tc 0.249 0.249 0.301
Mn 0.745 0.745 0.815
Te 0.501 0.501 0.457
```

5.
VASP calculation (GGA-PBE) on AlAg4 after structural relaxation. Values from VASP.

Summary:
Electronic total energy: -13.8 eV for the cell shown
Theoretical density: 7.077 g cm⁻³
Total moment: 0.00 μB per formula unit
Calculated volume: 21.5 A^3/atom
Calculated formation energy: 26 kJ/mol of atoms

Cell and atoms, written as Quantum ESPRESSO input:
```
&SYSTEM
  ibrav = 0, nat = 5, ntyp = 2
/
ATOMIC_SPECIES
Ag 107.87 Ag.upf
Al 26.98 Al.upf
CELL_PARAMETERS angstrom
-2.996 2.996 2.996
2.996 -2.996 2.996
2.996 2.996 -2.996
ATOMIC_POSITIONS crystal
Ag 0.000 0.000 0.500
Ag 0.000 0.500 0.000
Ag 0.500 0.000 0.000
Ag 0.500 0.500 0.500
Al 0.000 0.000 0.000
```

6.
VASP calculation (GGA-PBE) on Ac2AuSe after structural relaxation. Values from VASP.

Summary:
Electronic total energy: -19.9 eV for the cell shown
Theoretical density: 9.005 g cm⁻³
Total moment: 0.00 μB per formula unit
Relative energy among the computed polymorphs: 72.1 meV/atom
Calculated volume: 33.7 A^3/atom

Cell and atoms, written as Quantum ESPRESSO input:
```
&SYSTEM
  ibrav = 0, nat = 4, ntyp = 3
/
ATOMIC_SPECIES
Au 196.97 Au.upf
Se 78.96 Se.upf
Ac 227.00 Ac.upf
CELL_PARAMETERS angstrom
-1.475 1.996 -3.606
-0.718 -2.316 -3.645
-8.366 -1.469 -0.048
ATOMIC_POSITIONS crystal
Au 0.668 0.668 0.997
Se 0.499 0.499 0.503
Ac 0.254 0.254 0.238
Ac 0.079 0.079 0.762
```

7.
VASP calculation (GGA-PBE) on MoAsC2 after structural relaxation. Values from VASP.

Summary:
Electronic total energy: -60.3 eV for the cell shown
Theoretical density: 6.203 g cm⁻³
Total moment: 0.00 μB per formula unit
Calculated volume: 13.0 A^3/atom
Calculated formation energy: 91 kJ/mol of atoms

Cell and atoms, written as Quantum ESPRESSO input:
```
&SYSTEM
  ibrav = 0, nat = 8, ntyp = 3
/
ATOMIC_SPECIES
C 12.01 C.upf
As 74.92 As.upf
Mo 95.94 Mo.upf
CELL_PARAMETERS angstrom
-0.073 1.327 -4.650
-4.808 -0.523 -0.074
-2.923 4.664 -1.138
ATOMIC_POSITIONS crystal
C 0.134 0.625 0.250
C 0.875 0.866 0.750
C 0.375 0.384 0.750
C 0.616 0.125 0.250
As 0.250 0.750 0.500
As 0.500 0.500 0.000
Mo 0.750 0.250 0.500
Mo 0.000 0.000 0.000
```

8.
VASP calculation (GGA-PBE) on CaLaAu after structural relaxation. Values from VASP.

Summary:
Electronic total energy: -23.4 eV for the cell shown
Theoretical density: 6.874 g cm⁻³
Total moment: 0.00 μB per formula unit
Relative energy among the computed polymorphs: 21.3 meV/atom
Calculated volume: 30.3 A^3/atom
Calculated formation energy: -47 kJ/mol of atoms

Cell and atoms, written as Quantum ESPRESSO input:
```
&SYSTEM
  ibrav = 0, nat = 6, ntyp = 3
/
ATOMIC_SPECIES
Au 196.97 Au.upf
Ca 40.08 Ca.upf
La 138.91 La.upf
CELL_PARAMETERS angstrom
4.803 -0.187 -0.063
0.282 4.798 -0.063
-0.373 -0.339 7.873
ATOMIC_POSITIONS crystal
Au 0.784 0.784 0.246
Au 0.216 0.216 0.754
Ca 0.745 0.255 0.000
Ca 0.255 0.745 0.000
La 0.755 0.755 0.619
La 0.245 0.245 0.381
```

9.
VASP calculation (GGA-PBE) on AcPr2Ni after structural relaxation. Values from VASP.

Summary:
Electronic total energy: -39.9 eV for the cell shown
Theoretical density: 7.643 g cm⁻³
Total moment: 0.00 μB per formula unit
Relative energy among the computed polymorphs: 22.5 meV/atom
Calculated volume: 30.8 A^3/atom
Calculated formation energy: -12 kJ/mol of atoms

Cell and atoms, written as Quantum ESPRESSO input:
```
&SYSTEM
  ibrav = 0, nat = 8, ntyp = 3
/
ATOMIC_SPECIES
Pr 140.91 Pr.upf
Ni 58.69 Ni.upf
Ac 227.00 Ac.upf
CELL_PARAMETERS angstrom
5.142 -0.002 0.000
-2.573 6.192 0.000
0.000 0.000 7.746
ATOMIC_POSITIONS crystal
Pr 0.655 0.310 0.029
Pr 0.345 0.690 0.971
Pr 0.655 0.310 0.471
Pr 0.345 0.690 0.529
Ni 0.800 0.600 0.750
Ni 0.200 0.400 0.250
Ac 0.036 0.072 0.750
Ac 0.964 0.928 0.250
```

10.
VASP calculation (GGA-PBE) on LiTa2TeO8 after structural relaxation. Values from VASP.

Summary:
Electronic total energy: -94.2 eV for the cell shown
Theoretical density: 7.166 g cm⁻³
Total moment: 0.00 μB per formula unit
Calculated volume: 12.1 A^3/atom

Cell and atoms, written as Quantum ESPRESSO input:
```
&SYSTEM
  ibrav = 0, nat = 12, ntyp = 4
/
ATOMIC_SPECIES
O 16.00 O.upf
Ta 180.95 Ta.upf
Te 127.60 Te.upf
Li 6.94 Li.upf
CELL_PARAMETERS angstrom
4.810 0.054 -0.003
0.105 4.806 -0.006
0.004 0.007 6.261
ATOMIC_POSITIONS crystal
O 0.308 0.307 0.000
O 0.684 0.685 0.500
O 0.205 0.794 0.238
O 0.795 0.206 0.238
O 0.316 0.315 0.500
O 0.795 0.206 0.762
O 0.692 0.693 0.000
O 0.205 0.794 0.762
Ta 0.500 0.500 0.261
Ta 0.500 0.500 0.739
Te 0.000 0.000 0.000
Li 0.000 0.000 0.500
```

11.
VASP calculation (GGA-PBE) on ScTcPb2 after structural relaxation. Values from VASP.

Summary:
Electronic total energy: -23.5 eV for the cell shown
Theoretical density: 10.076 g cm⁻³
Total moment: 0.00 μB per formula unit
Relative energy among the computed polymorphs: 91.3 meV/atom
Calculated volume: 23.0 A^3/atom
Calculated formation energy: 16 kJ/mol of atoms

Cell and atoms, written as Quantum ESPRESSO input:
```
&SYSTEM
  ibrav = 0, nat = 4, ntyp = 3
/
ATOMIC_SPECIES
Sc 44.96 Sc.upf
Pb 207.20 Pb.upf
Tc 98.00 Tc.upf
CELL_PARAMETERS angstrom
6.502 -0.034 0.035
5.662 3.195 0.035
1.695 0.441 4.390
ATOMIC_POSITIONS crystal
Sc 0.557 0.557 0.443
Pb 0.958 0.958 0.042
Pb 0.743 0.743 0.757
Tc 0.242 0.242 0.258
```

12.
VASP calculation (GGA-PBE) on ZrCoNiPd after structural relaxation. Values from VASP.

Summary:
Electronic total energy: -27.6 eV for the cell shown
Theoretical density: 9.028 g cm⁻³
Total moment: 0.64 μB per formula unit
Calculated volume: 14.5 A^3/atom
Calculated formation energy: -24 kJ/mol of atoms

Cell and atoms, written as Quantum ESPRESSO input:
```
&SYSTEM
  ibrav = 0, nat = 4, ntyp = 4
/
ATOMIC_SPECIES
Co 58.93 Co.upf
Ni 58.69 Ni.upf
Zr 91.22 Zr.upf
Pd 106.42 Pd.upf
CELL_PARAMETERS angstrom
4.345 0.000 0.000
2.172 3.763 0.000
2.172 1.254 3.547
ATOMIC_POSITIONS crystal
Co 0.500 0.500 0.500
Ni 0.000 0.000 0.000
Zr 0.750 0.750 0.750
Pd 0.250 0.250 0.250
```